## w
Density functional theory data (SCAN) for TlAg2Ir at its PBEsol-relaxed geometry.

abc: 2.884 2.884 9.588
angles: 90.00 90.00 117.57
Fractional positions:
Ag: 0.000 0.000 0.987
Ag: 0.500 0.500 0.746
Tl: 0.500 0.500 0.260
Ir: 0.000 0.000 0.507

Properties
For the magnetization, the calculation gives 0.00 μB per formula unit. The calculation puts the density of states at the Fermi level at 1.60 states/eV/cell. Its symmetry is No. 35.

## x
Density functional theory data (SCAN) for TlAg2Ir at its PBEsol-relaxed geometry.

abc: 2.979 3.973 5.828
angles: 90.00 90.00 90.00
Fractional positions:
Ag: 0.000 0.000 0.019
Ag: 0.500 0.500 0.246
Tl: 0.500 0.500 0.731
Ir: 0.000 0.000 0.504

Properties
For the magnetization, the calculation gives 0.00 μB per formula unit. The calculation puts the density of states at the Fermi level at 1.79 states/eV/cell. Its symmetry is No. 25.

Energies in meV/atom, measured from the most stable structure: w 44; x 0.

## w
Density functional theory data (SCAN) for AgIrW at its PBEsol-relaxed geometry.

abc: 4.246 4.246 4.246
angles: 60.00 60.00 60.00
Fractional positions:
W: 0.750 0.750 0.750
Ag: 0.000 0.000 0.000
Ir: 0.500 0.500 0.500

Properties
For the magnetization, the calculation gives 0.00 μB per formula unit. The calculation puts the density of states at the Fermi level at 2.68 states/eV/cell. Its symmetry is No. 216.

## x
Density functional theory data (SCAN) for AgIrW at its PBEsol-relaxed geometry.

abc: 2.789 3.896 4.808
angles: 113.90 106.86 90.00
Fractional positions:
Ir: 0.674 0.674 0.349
Ag: 0.000 0.000 0.000
W: 0.325 0.325 0.651

Properties
For the magnetization, the calculation gives 0.00 μB per formula unit. The calculation puts the density of states at the Fermi level at 1.50 states/eV/cell. Its symmetry is No. 44.

Energies in meV/atom, measured from the most stable structure: w 604; x 0.

## w
Density functional theory data (SCAN) for KAg at its PBEsol-relaxed geometry.

abc: 5.754 11.078 11.960
angles: 90.00 90.00 90.00
Fractional positions:
K: 0.250 0.982 0.111
K: 0.750 0.114 0.292
K: 0.000 0.250 0.612
K: 0.750 0.018 0.889
K: 0.750 0.614 0.708
K: 0.500 0.250 0.612
K: 0.000 0.750 0.388
K: 0.750 0.518 0.111
K: 0.250 0.886 0.708
K: 0.500 0.750 0.388
K: 0.250 0.482 0.889
K: 0.250 0.386 0.292
Ag: 0.500 0.750 0.945
Ag: 0.500 0.250 0.055
Ag: 0.750 0.980 0.537
Ag: 0.750 0.305 0.865
Ag: 0.750 0.480 0.463
Ag: 0.250 0.695 0.135
Ag: 0.250 0.520 0.537
Ag: 0.000 0.250 0.055
Ag: 0.250 0.195 0.865
Ag: 0.000 0.750 0.945
Ag: 0.250 0.020 0.463
Ag: 0.750 0.805 0.135

Properties
For the magnetization, the calculation gives 0.00 μB per formula unit. The calculation puts the density of states at the Fermi level at 6.28 states/eV/cell. Its symmetry is No. 57.

## x
Density functional theory data (SCAN) for KAg at its PBEsol-relaxed geometry.

abc: 4.718 4.718 8.465
angles: 73.82 73.82 60.00
Fractional positions:
Ag: 0.833 0.833 0.500
Ag: 0.167 0.167 0.500
K: 0.413 0.413 0.761
K: 0.587 0.587 0.239

Properties
For the magnetization, the calculation gives 0.00 μB per formula unit. The calculation puts the density of states at the Fermi level at 1.25 states/eV/cell. Its symmetry is No. 166.

Energies in meV/atom, measured from the most stable structure: w 68; x 0.